A plane-wave DFT calculation with PBE was carried out for a geometry-optimized ZrSc2Ir structure.

It has space group Pnma (No. 62), with a = 6.650 Å, b = 8.732 Å, c = 5.968 Å, α = 90.00°, β = 90.00° and γ = 90.00°. The inequivalent atoms are Zr at (0.024, 0.250, 0.112), Sc at (0.181, 0.057, 0.676) and Ir at (0.111, 0.750, 0.460).

As for the energy relative to the lowest polymorph listed for this composition: 0.000 eV per atom. For the total magnetization, the calculation gives 0.00 μB/cell.